1.
Computed, not measured: an optimized crystal structure of MgGe2SO at the PBE-GGA level of DFT.

Energy relative to the elements, uncorrected ... 0.051 eV per atom
N(E_F) ... 1.4 states/eV/cell
SG ... No. 123
Electronic total energy ... -19.66 eV/cell
Total moment ... 0.00 Bohr magnetons per cell

Cell: 5.165 5.165 3.663 Å, 90.00 90.00 90.00°
Atoms (fractional coordinates):
1 Mg 0.000 0.000 0.000
2 Ge 0.000 0.500 0.000
3 Ge 0.500 0.000 0.000
4 S 0.500 0.500 0.500
5 O 0.000 0.000 0.500

***

2.
Computed, not measured: an optimized crystal structure of NaOs2W at the PBE-GGA level of DFT.

N(E_F) ... 13.7 states/eV/cell
SG ... No. 122
Electronic total energy ... -128.54 eV/cell
ΔE to the lowest computed polymorph ... 524 meV per atom
DFT formation energy ... 1.15 eV per atom
Total moment ... 0.00 Bohr magnetons per cell

Cell: 7.339 7.339 5.437 Å, 90.00 90.00 90.00°
Atoms (fractional coordinates):
1 Na 0.000 0.000 0.000
2 Na 0.000 0.500 0.250
3 Na 0.500 0.000 0.750
4 Na 0.500 0.500 0.500
5 Os 0.202 0.250 0.625
6 Os 0.250 0.702 0.875
7 Os 0.250 0.798 0.375
8 Os 0.298 0.250 0.125
9 Os 0.702 0.750 0.125
10 Os 0.750 0.202 0.375
11 Os 0.750 0.298 0.875
12 Os 0.798 0.750 0.625
13 W 0.000 0.000 0.500
14 W 0.000 0.500 0.750
15 W 0.500 0.000 0.250
16 W 0.500 0.500 0.000

***

3.
Computed, not measured: an optimized crystal structure of Zr2CdHgH at the PBE-GGA level of DFT.

N(E_F) ... 2.7 states/eV/cell
SG ... No. 123
Electronic total energy ... -22.57 eV/cell
ΔE to the lowest computed polymorph ... 0 meV per atom
Total moment ... 0.00 Bohr magnetons per cell

Cell: 4.385 4.385 4.563 Å, 90.00 90.00 90.00°
Atoms (fractional coordinates):
1 Zr 0.000 0.500 0.000
2 Zr 0.500 0.000 0.000
3 Cd 0.000 0.000 0.500
4 Hg 0.500 0.500 0.500
5 H 0.000 0.000 0.000